(1)
Hf4ScOs5, relaxed, DFT GGA-PBE; total magnetization = 0.00 Bohr magnetons per cell; ΔH_f (0 K) = -0.665 eV per atom; calculated volume = 17.03 Å³/atom
1.0
-0.3997 -3.1990 -0.3313
2.6878 -0.1490 -1.8046
8.8379 -2.4890 13.3693
Os Hf Sc
5 4 1
Direct
0.5000 0.5000 0.3005
0.5000 0.5000 0.1018
0.5000 0.5000 0.5000
0.5000 0.5000 0.6995
0.5000 0.5000 0.8982
0.0000 0.0000 0.1968
0.0000 0.0000 0.3990
0.0000 0.0000 0.8032
0.0000 0.0000 0.6010
0.0000 0.0000 0.0000

=====

(2)
HfSiOs2, relaxed, DFT GGA-PBE; total magnetization = 0.03 Bohr magnetons per cell; calculated volume = 15.61 Å³/atom; calculated total energy = -9.31 eV per atom
1.0
1.2688 -4.1525 -0.9894
0.9278 -2.8825 3.2653
-2.7422 -3.4165 0.8000
Os Hf Si
2 1 1
Direct
0.7500 0.7500 0.7500
0.0000 0.0000 0.0000
0.2500 0.2500 0.2500
0.5000 0.5000 0.5000

=====

(3)
HfSi2Os2, relaxed, DFT GGA-PBE; total magnetization = 0.01 Bohr magnetons per cell; calculated volume = 14.72 Å³/atom; calculated total energy = -9.02 eV per atom
1.0
-3.0650 6.4942 0.1138
-5.9288 -2.7459 -2.9817
-1.0538 -0.5428 2.5952
Os Hf Si
4 2 4
Direct
0.1505 0.6505 0.5000
0.3495 0.1505 0.5000
0.8495 0.3495 0.5000
0.6505 0.8495 0.5000
0.0000 0.0000 0.0000
0.5000 0.5000 0.0000
0.1423 0.3577 0.0000
0.3577 0.8577 0.0000
0.8577 0.6423 0.0000
0.6423 0.1423 0.0000

=====

(4)
HfSn2Os, relaxed, DFT GGA-PBE; total magnetization = 0.00 Bohr magnetons per cell; calculated volume = 20.10 Å³/atom; calculated total energy = -7.17 eV per atom
1.0
-2.5755 -4.1019 -0.1100
-4.8010 0.1703 -0.6258
-1.9557 -1.5214 -4.1631
Sn Os Hf
2 1 1
Direct
0.7500 0.7500 0.7500
0.0000 0.0000 0.0000
0.5000 0.5000 0.5000
0.2500 0.2500 0.2500

=====

(5)
Hf2SnOs, relaxed, DFT GGA-PBE; total magnetization = 1.42 Bohr magnetons per cell; calculated volume = 19.01 Å³/atom; calculated total energy = -8.79 eV per atom
1.0
2.4130 -3.8300 1.4576
0.8640 -0.6454 4.6317
-2.2380 -3.4579 2.3771
Hf Os Sn
2 1 1
Direct
0.7500 0.7500 0.7500
0.0000 0.0000 0.0000
0.2500 0.2500 0.2500
0.5000 0.5000 0.5000

=====

(6)
HfSn4Os2, relaxed, DFT GGA-PBE; total magnetization = 0.00 Bohr magnetons per cell; calculated volume = 20.26 Å³/atom; calculated total energy = -6.30 eV per atom
1.0
-3.4618 3.4618 2.9583
3.4618 -3.4618 2.9583
3.4618 3.4618 -2.9583
Os Hf Sn
2 1 4
Direct
0.2500 0.7500 0.5000
0.7500 0.2500 0.5000
0.0000 0.0000 0.0000
0.2910 0.2910 0.5821
0.7090 0.2910 0.0000
0.7090 0.7090 0.4179
0.2910 0.7090 0.0000

=====

(7)
SrHfOs2, relaxed, DFT GGA-PBE; total magnetization = 0.01 Bohr magnetons per cell; calculated volume = 18.48 Å³/atom; calculated total energy = -7.80 eV per atom
1.0
3.5301 1.3970 2.7884
0.0064 4.3583 1.7871
-0.7539 0.6593 4.6028
Hf Os Sr
1 2 1
Direct
0.5000 0.5000 0.5000
0.2500 0.2500 0.2500
0.0000 0.0000 0.0000
0.7500 0.7500 0.7500

=====

(8)
SrHfOs, relaxed, DFT GGA-PBE; total magnetization = 0.00 Bohr magnetons per cell; calculated volume = 25.06 Å³/atom; calculated total energy = -7.18 eV per atom
1.0
-4.5281 -1.3177 -0.4479
-3.4386 3.2557 0.1328
-2.4002 1.0722 -3.9409
Hf Sr Os
1 1 1
Direct
0.2500 0.2500 0.2500
0.7500 0.7500 0.7500
0.0000 0.0000 0.0000

=====

(9)
SrHfOs, relaxed, DFT GGA-PBE; total magnetization = 0.00 Bohr magnetons per cell; calculated volume = 24.40 Å³/atom; calculated total energy = -5.73 eV per atom
1.0
-2.9983 -2.6754 2.4288
-0.8811 0.9620 4.5106
-4.1854 1.7147 1.2607
Os Hf Sr
1 1 1
Direct
0.7500 0.7500 0.7500
0.2500 0.2500 0.2500
0.0000 0.0000 0.0000

=====

(10)
HfTaOs, relaxed, DFT GGA-PBE; total magnetization = 0.00 Bohr magnetons per cell; ΔH_f (0 K) = -0.106 eV per atom; calculated volume = 20.65 Å³/atom
1.0
-3.8962 1.7679 1.1905
-2.3747 2.3272 -2.9441
-3.7835 -1.6704 -1.6182
Ta Os Hf
1 1 1
Direct
0.7500 0.7500 0.7500
0.0000 0.0000 0.0000
0.2500 0.2500 0.2500

=====

(11)
HfTaOs2, relaxed, DFT GGA-PBE; total magnetization = 0.01 Bohr magnetons per cell; ΔH_f (0 K) = -0.023 eV per atom; calculated volume = 16.43 Å³/atom
1.0
2.0712 -3.4558 -2.0706
0.9268 -3.7912 2.2995
-2.2885 -3.8064 -0.8914
Hf Os Ta
1 2 1
Direct
0.2500 0.2500 0.2500
0.7500 0.7500 0.7500
0.0000 0.0000 0.0000
0.5000 0.5000 0.5000

=====

(12)
Hf2Ta2Os3, relaxed, DFT GGA-PBE; total magnetization = 0.01 Bohr magnetons per cell; ΔH_f (0 K) = -0.384 eV per atom; calculated volume = 18.28 Å³/atom
1.0
7.3587 -0.8077 -2.2595
7.2407 2.6692 0.5974
7.2642 -1.5449 2.1803
Ta Hf Os
2 2 3
Direct
0.0024 0.0024 0.0024
0.4971 0.4971 0.4971
0.2451 0.2451 0.2451
0.7538 0.7538 0.7538
0.8764 0.8764 0.8764
0.3746 0.3746 0.3746
0.6256 0.6256 0.6256

=====

Number 4 is which compound? HfSn2Os

=====

The lowest calculated volume belongs to which entry? HfSi2Os2